A relaxed LiHfGa crystal. Source: the Alexandria database, functional PBE.

Values from the calculation:
The energy relative to the elements is 0.107 eV per atom. Its crystal system is hexagonal. The calculation puts the relative energy among the computed polymorphs at 415 meV/atom. Its electronic total energy is -14.57 eV for the cell shown.

a = 4.758 Å, b = 4.758 Å, c = 2.966 Å
α = 90.00°, β = 90.00°, γ = 120.00°
Fractional coordinates of all 3 atoms:
Li 0.000 0.000 0.000
Hf 0.667 0.333 0.500
Ga 0.333 0.667 0.500